1.
{
  "formula": "CoRh",
  "functional": "PBEsol",
  "state": "optimized geometry",
  "cell": [[-0.2021, -0.6083, 2.5204], [-1.2110, -1.4485, -1.7884], [10.0620, -7.2484, -0.9425]],
  "species": ["Rh", "Rh", "Rh", "Co", "Co", "Co"],
  "fractional_positions": [[0.6667, 0.3333, 0.3302], [0.3333, 0.6667, 0.6618], [0.6667, 0.3333, 0.8417], [0.0000, 0.0000, 0.0091], [0.3333, 0.6667, 0.1605], [0.0000, 0.0000, 0.4967]],
  "ef_ev_per_atom": 0.08,
  "spacegroup": "P3m1, No. 156",
  "dos_at_fermi_per_ev_cell": 8.13
}

***

2.
{
  "formula": "Te2Pd",
  "functional": "PBEsol",
  "state": "optimized geometry",
  "cell": [[4.0326, 0.0000, 0.0000], [-2.0163, 3.4923, 0.0000], [0.0000, 0.0000, 5.0802]],
  "species": ["Te", "Te", "Pd"],
  "fractional_positions": [[0.6667, 0.3333, 0.2676], [0.3333, 0.6667, 0.7324], [0.0000, 0.0000, 0.0000]],
  "spacegroup": "P-3m1, No. 164",
  "formation_energy_uncorrected_ev_per_atom": -0.372,
  "dos_at_fermi_per_ev_cell": 1.26
}

***

3.
{
  "formula": "CaHgIN2",
  "functional": "PBEsol",
  "state": "optimized geometry",
  "cell": [[-3.0485, -2.8319, 1.0111], [2.7503, -3.2080, -0.6928], [1.5540, 0.1996, 5.2448]],
  "species": ["Hg", "I", "N", "N", "Ca"],
  "fractional_positions": [[0.0000, 0.0000, 0.5000], [0.0000, 0.0000, 0.0000], [0.5000, 0.0000, 0.0000], [0.0000, 0.5000, 0.0000], [0.5000, 0.5000, 0.5000]],
  "spacegroup": "P4/mmm, No. 123",
  "formation_energy_uncorrected_ev_per_atom": 1.226,
  "relative_energy_ev_per_atom": 0.147,
  "dos_at_fermi_per_ev_cell": 3.49
}

***

Number 1 is which compound? CoRh

***

Copy entry 3 word for word.
{
  "formula": "CaHgIN2",
  "functional": "PBEsol",
  "state": "optimized geometry",
  "cell": [[-3.0485, -2.8319, 1.0111], [2.7503, -3.2080, -0.6928], [1.5540, 0.1996, 5.2448]],
  "species": ["Hg", "I", "N", "N", "Ca"],
  "fractional_positions": [[0.0000, 0.0000, 0.5000], [0.0000, 0.0000, 0.0000], [0.5000, 0.0000, 0.0000], [0.0000, 0.5000, 0.0000], [0.5000, 0.5000, 0.5000]],
  "spacegroup": "P4/mmm, No. 123",
  "formation_energy_uncorrected_ev_per_atom": 1.226,
  "relative_energy_ev_per_atom": 0.147,
  "dos_at_fermi_per_ev_cell": 3.49
}